Entry 1:
# Tb3Dy7Ho

Tb3Dy7Ho after structural relaxation (PBE, the Alexandria database).

Cell: 6.925 5.505 9.882 Å, 90.00 110.33 90.00°
Atoms (fractional coordinates):
Tb 0.000 0.000 0.000
Tb 0.280 0.500 0.499
Tb 0.720 0.500 0.501
Dy 0.000 0.000 0.500
Dy 0.146 0.500 0.790
Dy 0.321 0.500 0.140
Dy 0.417 0.000 0.330
Dy 0.583 0.000 0.670
Dy 0.679 0.500 0.860
Dy 0.854 0.500 0.210
Ho 0.500 0.000 0.000

## Properties
theoretical density = 8.4 g cm⁻³
excess energy over the best structure of this formula in the dataset = 0.000 eV/atom
SG = No. 10
energy of formation from the pure elements = 0.14 eV/atom

---

Entry 2:
# Tb5Dy4Ho4

Tb5Dy4Ho4 after structural relaxation (PBE, the Alexandria database).

Cell: 9.359 9.359 9.359 Å, 94.07 94.07 149.09°
Atoms (fractional coordinates):
Tb 0.000 0.000 0.000
Tb 0.307 0.461 0.769
Tb 0.461 0.693 0.154
Tb 0.539 0.307 0.846
Tb 0.693 0.539 0.231
Dy 0.077 0.615 0.692
Dy 0.385 0.077 0.461
Dy 0.615 0.923 0.539
Dy 0.923 0.385 0.308
Ho 0.154 0.231 0.385
Ho 0.231 0.846 0.077
Ho 0.769 0.154 0.923
Ho 0.846 0.769 0.615

## Properties
theoretical density = 8.6 g cm⁻³
SG = No. 87
energy of formation from the pure elements = 0.02 eV/atom

---

Entry 3:
# Tb4Dy8Ho3

Tb4Dy8Ho3 after structural relaxation (PBE, the Alexandria database).

Cell: 12.353 12.353 12.353 Å, 32.39 32.39 32.39°
Atoms (fractional coordinates):
Tb 0.000 0.000 0.000
Tb 0.164 0.164 0.164
Tb 0.500 0.500 0.500
Tb 0.836 0.836 0.836
Dy 0.250 0.250 0.748
Dy 0.250 0.748 0.250
Dy 0.252 0.750 0.750
Dy 0.255 0.255 0.255
Dy 0.745 0.745 0.745
Dy 0.748 0.250 0.250
Dy 0.750 0.252 0.750
Dy 0.750 0.750 0.252
Ho 0.000 0.500 0.500
Ho 0.500 0.000 0.500
Ho 0.500 0.500 0.000

## Properties
theoretical density = 8.4 g cm⁻³
excess energy over the best structure of this formula in the dataset = 0.000 eV/atom
SG = No. 166
energy of formation from the pure elements = 0.14 eV/atom

---

Entry 4:
# TbDy3Ho

TbDy3Ho after structural relaxation (PBE, the Alexandria database).

Cell: 6.478 6.660 8.931 Å, 80.11 69.27 60.95°
Atoms (fractional coordinates):
Tb 0.120 0.150 0.346
Tb 0.880 0.850 0.654
Dy 0.268 0.849 0.846
Dy 0.298 0.295 0.951
Dy 0.406 0.296 0.550
Dy 0.594 0.704 0.450
Dy 0.702 0.705 0.049
Dy 0.732 0.151 0.154
Ho 0.178 0.646 0.250
Ho 0.822 0.354 0.750

## Properties
theoretical density = 8.6 g cm⁻³
excess energy over the best structure of this formula in the dataset = 0.000 eV/atom
SG = No. 2
energy of formation from the pure elements = 0.05 eV/atom

---

Entry 5:
# TbDyHo6

TbDyHo6 after structural relaxation (PBE, the Alexandria database).

Cell: 4.979 6.102 9.305 Å, 90.18 105.44 114.04°
Atoms (fractional coordinates):
Tb 0.000 0.000 0.000
Dy 0.500 0.500 0.500
Ho 0.125 0.875 0.375
Ho 0.250 0.750 0.750
Ho 0.375 0.625 0.125
Ho 0.625 0.375 0.875
Ho 0.750 0.250 0.250
Ho 0.875 0.125 0.625

## Properties
theoretical density = 8.8 g cm⁻³
excess energy over the best structure of this formula in the dataset = 0.000 eV/atom
SG = No. 2
energy of formation from the pure elements = 0.02 eV/atom

---

Entry 6:
# Tb5DyHo5

Tb5DyHo5 after structural relaxation (PBE, the Alexandria database).

Cell: 6.029 6.029 11.518 Å, 90.00 90.00 120.00°
Atoms (fractional coordinates):
Tb 0.000 0.000 0.000
Tb 0.333 0.667 0.318
Tb 0.333 0.667 0.682
Tb 0.667 0.333 0.156
Tb 0.667 0.333 0.844
Dy 0.333 0.667 0.000
Ho 0.000 0.000 0.265
Ho 0.000 0.000 0.735
Ho 0.335 0.168 0.500
Ho 0.832 0.168 0.500
Ho 0.832 0.665 0.500

## Properties
theoretical density = 8.2 g cm⁻³
excess energy over the best structure of this formula in the dataset = 0.177 eV/atom
SG = No. 187
energy of formation from the pure elements = 0.32 eV/atom

---

Q: What is the theoretical density in the fifth record?
A: 8.8 g cm⁻³

---

Q: Which value of theoretical density does entry 4 give?
A: 8.6 g cm⁻³